a) # PBE ReRuSe, optimized geometry
data_ReRuSe
_cell_length_a 7.449
_cell_length_b 7.189
_cell_length_c 2.798
_cell_angle_alpha 84.25
_cell_angle_beta 73.80
_cell_angle_gamma 21.95
_symmetry_space_group_name_H-M 'P 1'
_symmetry_Int_Tables_number 1
_symmetry_space_group_name_Hall 'P 1'
loop_
_atom_site_label
_atom_site_type_symbol
_atom_site_fract_x
_atom_site_fract_y
_atom_site_fract_z
Re1 Re 0.989 0.989 0.011
Ru1 Ru 0.341 0.341 0.659
Se1 Se 0.670 0.670 0.330
# - space-group type = Fmm2



b) # PBE ReRuSe, optimized geometry
data_ReRuSe
_cell_length_a 5.588
_cell_length_b 5.588
_cell_length_c 5.588
_cell_angle_alpha 149.22
_cell_angle_beta 149.22
_cell_angle_gamma 44.08
_symmetry_space_group_name_H-M 'P 1'
_symmetry_Int_Tables_number 1
_symmetry_space_group_name_Hall 'P 1'
loop_
_atom_site_label
_atom_site_type_symbol
_atom_site_fract_x
_atom_site_fract_y
_atom_site_fract_z
Re1 Re 0.998 0.998 0.000
Ru1 Ru 0.341 0.341 0.000
Se1 Se 0.661 0.661 0.000
# - space-group type = I4mm



c) # PBE ReRuSe, optimized geometry
data_ReRuSe
_cell_length_a 2.920
_cell_length_b 2.920
_cell_length_c 12.426
_cell_angle_alpha 90.00
_cell_angle_beta 90.00
_cell_angle_gamma 120.00
_symmetry_space_group_name_H-M 'P 1'
_symmetry_Int_Tables_number 1
_symmetry_space_group_name_Hall 'P 1'
loop_
_atom_site_label
_atom_site_type_symbol
_atom_site_fract_x
_atom_site_fract_y
_atom_site_fract_z
Re1 Re 0.444 0.889 0.000
Re2 Re 0.445 0.889 0.500
Se1 Se 0.778 0.556 0.343
Se2 Se 0.778 0.556 0.657
Ru1 Ru 0.111 0.222 0.835
Ru2 Ru 0.111 0.222 0.165
# - space-group type = P-6m2



Best to worst by energy: c), b), a).